! PBE CuHg2Se, relaxed; values from VASP
&SYSTEM
  ibrav = 0, nat = 4, ntyp = 3
/
ATOMIC_SPECIES
Hg 200.59 Hg.upf
Se 78.96 Se.upf
Cu 63.55 Cu.upf
CELL_PARAMETERS angstrom
-2.379 -2.420 0.147
2.004 -2.078 -1.788
3.778 -3.229 7.986
ATOMIC_POSITIONS crystal
Hg 0.000 0.000 0.990
Hg 0.500 0.500 0.287
Se 0.000 0.000 0.640
Cu 0.500 0.500 0.584
! SG: No. 99
! Formation energy (no corrections): 0.03 eV/atom